Nd4As2SeBr after structural relaxation. Source: the Alexandria database, functional PBE.

The structure in POSCAR format:
```
Nd4As2SeBr
1.0
-0.828 1.564 -3.864
-0.802 -6.974 -2.651
-7.069 -2.040 0.688
Nd As Se Br
4 2 1 1
Cartesian
-5.785 -6.918 -1.562
-2.914 -0.531 -4.266
-2.825 -5.114 -3.802
-5.873 -2.335 -2.025
-7.069 -2.040 0.688
-3.948 -0.238 -1.588
-3.936 -4.507 -0.982
-0.815 -2.705 -3.258
```

space-group type = P2/m, No. 10
energy relative to the elements, uncorrected = -1580 meV per atom

SrSiP3 after structural relaxation. Source: the Alexandria database, functional PBE.

The structure in POSCAR format:
```
SrSiP3
1.0
4.698 0.000 0.000
0.000 4.698 0.000
0.000 0.000 4.698
Sr Si P
1 1 3
Cartesian
2.349 2.349 2.349
0.000 0.000 0.000
0.000 2.349 0.000
0.000 0.000 2.349
2.349 0.000 0.000
```

energy relative to the lowest polymorph listed for this composition = 0.000 eV per atom
space-group type = Pm-3m, No. 221
energy relative to the elements, uncorrected = 1 meV per atom

MgGa2Sn after structural relaxation. Source: the Alexandria database, functional PBE.

The structure in POSCAR format:
```
MgGa2Sn
1.0
-5.090 -4.799 -3.768
-0.057 -4.870 6.279
-4.807 -3.352 2.385
Mg Sn Ga
2 2 4
Cartesian
-2.574 -4.835 1.255
-3.719 -6.528 4.959
0.000 0.000 0.000
-6.235 -6.493 -0.064
-4.434 -4.487 -1.006
-1.830 -4.441 4.082
-5.535 -6.099 2.676
-8.110 -11.016 4.039
```

energy relative to the lowest polymorph listed for this composition = 0.116 eV per atom
DFT formation energy = 53.0 meV per atom
space-group type = I-42d, No. 122